Version i
An optimized crystal structure of SrHf2F, computed with PBE.

Its total magnetization is 0.002 μB per cell. As for the volume: 433 Å³/cell.

The structure belongs to space group I-42d (No. 122); the cell edges are 6.8463, 6.8463 and 9.2380 Å and the angles 90.00°, 90.00° and 90.00°. Symmetry generates all atoms from Sr at (0.0000, 0.0000, 0.0000), Hf at (0.0570, 0.7500, 0.6250) and F at (0.0000, 0.0000, 0.5000).



Version ii
An optimized crystal structure of SrHf2F, computed with PBE.

Its total magnetization is 0.000 μB per cell. As for the volume: 380 Å³/cell.

The structure belongs to space group Fm-3m (No. 225); the cell edges are 7.2434, 7.2434 and 7.2434 Å and the angles 90.00°, 90.00° and 90.00°. Symmetry generates all atoms from Sr at (0.0000, 0.0000, 0.0000), Hf at (0.2500, 0.2500, 0.2500) and F at (0.0000, 0.0000, 0.5000).



Quick ranking, most stable first: version i, version ii.



Version i
An optimized crystal structure of Hf3TaF, computed with PBE.

Its total magnetization is 0.000 μB per cell. As for the volume: 137 Å³/cell.

The structure belongs to space group Pm-3m (No. 221); the cell edges are 5.1504, 5.1504 and 5.1504 Å and the angles 90.00°, 90.00° and 90.00°. Symmetry generates all atoms from Hf at (0.0000, 0.0000, 0.5000), Ta at (0.0000, 0.0000, 0.0000) and F at (0.5000, 0.5000, 0.5000).



Version ii
An optimized crystal structure of Hf3TaF, computed with PBE.

Its total magnetization is 0.000 μB per cell. As for the volume: 92 Å³/cell.

The structure belongs to space group Pm-3m (No. 221); the cell edges are 4.5203, 4.5203 and 4.5203 Å and the angles 90.00°, 90.00° and 90.00°. Symmetry generates all atoms from Hf at (0.0000, 0.0000, 0.5000), Ta at (0.5000, 0.5000, 0.5000) and F at (0.0000, 0.0000, 0.0000).



Quick ranking, most stable first: version ii, version i.



Version i
An optimized crystal structure of HfTaF2, computed with PBE.

Its total magnetization is 0.000 μB per cell. As for the volume: 235 Å³/cell.

The structure belongs to space group Fm-3m (No. 225); the cell edges are 6.1731, 6.1731 and 6.1731 Å and the angles 90.00°, 90.00° and 90.00°. Symmetry generates all atoms from Hf at (0.0000, 0.0000, 0.0000), Ta at (0.0000, 0.0000, 0.5000) and F at (0.2500, 0.2500, 0.2500).



Version ii
An optimized crystal structure of HfTaF2, computed with PBE.

Its total magnetization is 0.000 μB per cell. As for the volume: 173 Å³/cell.

The structure belongs to space group R-3m (No. 166, hexagonal axes); the cell edges are 2.8930, 2.8930 and 23.8255 Å and the angles 90.00°, 90.00° and 120.00°. Symmetry generates all atoms from Hf at (0.0000, 0.0000, 0.0000), Ta at (0.0000, 0.0000, 0.5000) and F at (0.0000, 0.0000, 0.4018).



Version iii
An optimized crystal structure of HfTaF2, computed with PBE.

Its total magnetization is 0.000 μB per cell. As for the volume: 242 Å³/cell.

The structure belongs to space group I-42d (No. 122); the cell edges are 4.1154, 4.1154 and 14.2618 Å and the angles 90.00°, 90.00° and 90.00°. Symmetry generates all atoms from Hf at (0.0000, 0.0000, 0.0000), Ta at (0.0000, 0.0000, 0.5000) and F at (0.2493, 0.2500, 0.6250).



Quick ranking, most stable first: version ii, version iii, version i.



Version i
An optimized crystal structure of HfTa2F, computed with PBE.

Its total magnetization is 0.000 μB per cell. As for the volume: 338 Å³/cell.

The structure belongs to space group I-42d (No. 122); the cell edges are 5.2076, 5.2076 and 12.4673 Å and the angles 90.00°, 90.00° and 90.00°. Symmetry generates all atoms from Hf at (0.0000, 0.0000, 0.0000), Ta at (0.0653, 0.2500, 0.6250) and F at (0.0000, 0.0000, 0.5000).



Version ii
An optimized crystal structure of HfTa2F, computed with PBE.

Its total magnetization is 0.000 μB per cell. As for the volume: 282 Å³/cell.

The structure belongs to space group Fm-3m (No. 225); the cell edges are 6.5586, 6.5586 and 6.5586 Å and the angles 90.00°, 90.00° and 90.00°. Symmetry generates all atoms from Hf at (0.0000, 0.0000, 0.0000), Ta at (0.2500, 0.2500, 0.2500) and F at (0.0000, 0.0000, 0.5000).



Quick ranking, most stable first: version ii, version i.